The following is a DFT calculation (PBE) of a relaxed structure of ScRe4Ni.

POSCAR file:
```
ScRe4Ni
1.0
0.000 3.676 3.676
3.676 0.000 3.676
3.676 3.676 0.000
Sc Re Ni
1 4 1
direct
0.000 0.000 0.000
0.128 0.624 0.624
0.624 0.128 0.624
0.624 0.624 0.128
0.624 0.624 0.624
0.250 0.250 0.250
```

Results
total magnetization: 0.001 μB per formula unit
volume: 99.3 Å³/f.u.
SG: No. 216
energy of formation: 0.190 eV/atom
total DFT energy (no corrections): -60.76 eV per cell